# 1
Material: AcPr4Ir
Method: DFT, PBE
State: optimized geometry

Lattice parameters (Å, degrees): 6.461 7.732 10.114 112.47 110.95 90.00
Positions (direct):
Ac 0.796 0.804 0.609
Ac 0.204 0.196 0.391
Pr 0.163 0.681 0.362
Pr 0.411 0.133 0.774
Pr 0.000 0.249 0.000
Pr 0.589 0.359 0.226
Pr 0.837 0.319 0.638
Pr 0.589 0.867 0.226
Pr 0.000 0.751 0.000
Pr 0.411 0.641 0.774
Ir 0.264 0.465 0.929
Ir 0.736 0.535 0.071

Results
volume	430.5	Å³ per cell
uncorrected energy	-33.07	eV per formula unit

---

# 2
Material: PmHo6Er2Sc3
Method: DFT, PBE
State: optimized geometry

Lattice parameters (Å, degrees): 6.021 6.021 11.439 95.03 95.03 119.96
Positions (direct):
Pm 0.000 0.000 0.000
Ho 0.913 0.580 0.741
Ho 0.753 0.753 0.259
Ho 0.087 0.420 0.259
Ho 0.580 0.913 0.741
Ho 0.247 0.247 0.741
Ho 0.420 0.087 0.259
Er 0.333 0.667 0.000
Er 0.667 0.333 0.000
Sc 0.167 0.833 0.500
Sc 0.833 0.167 0.500
Sc 0.500 0.500 0.500

Results
volume	353.7	Å³ per cell
uncorrected energy	-59.81	eV per formula unit

---

# 3
Material: Nd4GeHSe2
Method: DFT, PBE
State: optimized geometry

Lattice parameters (Å, degrees): 4.205 7.105 7.284 108.97 90.00 90.00
Positions (direct):
Nd 0.500 0.252 0.247
Nd 0.500 0.748 0.753
Nd 0.000 0.249 0.761
Nd 0.000 0.751 0.239
Ge 0.500 0.500 0.000
H 0.000 0.000 0.000
Se 0.500 0.000 0.500
Se 0.000 0.500 0.500

Results
volume	205.8	Å³ per cell
uncorrected energy	-43.59	eV per formula unit

---

# 4
Material: Pr3PuPt8
Method: DFT, PBE
State: optimized geometry

Lattice parameters (Å, degrees): 5.518 5.518 9.562 73.23 73.23 60.00
Last column: magnetic moment on the atom in μB.
Positions (direct):
Pr 0.376 0.376 0.872  0.02
Pr 0.998 0.998 0.007  0.04
Pr 0.502 0.502 0.494  0.06
Pu 0.874 0.874 0.379  5.27
Pt 0.938 0.437 0.188  -0.04
Pt 0.438 0.938 0.687  -0.02
Pt 0.437 0.437 0.188  -0.04
Pt 0.938 0.938 0.687  -0.02
Pt 0.188 0.188 0.437  -0.06
Pt 0.688 0.688 0.937  -0.02
Pt 0.437 0.938 0.188  -0.04
Pt 0.938 0.438 0.687  -0.02

Results
volume	237.7	Å³ per cell
uncorrected energy	-88.79	eV per formula unit

---

# 5
Material: LiLuZrRh
Method: DFT, PBE
State: optimized geometry

Lattice parameters (Å, degrees): 4.750 4.750 4.750 60.00 60.00 60.00
Positions (direct):
Lu 0.750 0.750 0.750
Rh 0.500 0.500 0.500
Zr 0.250 0.250 0.250
Li 0.000 0.000 0.000

Results
volume	75.8	Å³ per cell
uncorrected energy	-24.03	eV per formula unit

---

# 6
Material: Ca3Mg9Ag2
Method: DFT, PBE
State: optimized geometry

Lattice parameters (Å, degrees): 4.978 8.852 8.852 79.14 73.67 73.67
Positions (direct):
Ca 0.000 0.000 0.000
Ca 0.706 0.294 0.294
Ca 0.294 0.706 0.706
Mg 0.000 0.500 0.500
Mg 0.634 0.002 0.731
Mg 0.366 0.998 0.269
Mg 0.634 0.731 0.002
Mg 0.366 0.269 0.998
Mg 0.867 0.853 0.413
Mg 0.133 0.147 0.587
Mg 0.867 0.413 0.853
Mg 0.133 0.587 0.147
Ag 0.500 0.343 0.657
Ag 0.500 0.657 0.343

Results
volume	356.6	Å³ per cell
uncorrected energy	-27.25	eV per formula unit

---

# 7
Material: Li3Cd3Au
Method: DFT, PBE
State: optimized geometry

Lattice parameters (Å, degrees): 5.558 5.558 9.344 90.01 90.01 115.75
Positions (direct):
Li 0.722 0.722 0.001
Li 0.999 0.500 0.751
Li 0.500 0.999 0.751
Li 0.001 0.500 0.249
Li 0.500 0.001 0.249
Li 0.278 0.278 0.999
Cd 0.501 0.501 0.336
Cd 0.169 0.831 0.500
Cd 0.831 0.169 0.500
Cd 0.224 0.776 0.000
Cd 0.776 0.224 0.000
Cd 0.499 0.499 0.664
Au 0.999 0.999 0.762
Au 0.001 0.001 0.238

Results
volume	260.0	Å³ per cell
excess energy over the best structure of this formula in the dataset	0	meV/atom
uncorrected energy	-13.66	eV per formula unit

---

# 8
Material: ZnInB
Method: DFT, PBE
State: optimized geometry

Lattice parameters (Å, degrees): 8.149 3.185 8.434 90.00 90.00 90.00
Positions (direct):
Zn 0.744 0.250 0.943
Zn 0.756 0.750 0.443
Zn 0.256 0.750 0.057
Zn 0.244 0.250 0.557
B 0.000 0.000 0.000
B 0.500 0.500 0.500
B 0.500 0.000 0.500
B 0.000 0.500 0.000
In 0.516 0.250 0.196
In 0.984 0.750 0.696
In 0.484 0.750 0.804
In 0.016 0.250 0.304

Results
volume	218.9	Å³ per cell
uncorrected energy	-9.69	eV per formula unit

---

# 9
Material: Tb2IrPd
Method: DFT, PBE
State: optimized geometry

Lattice parameters (Å, degrees): 3.487 3.487 6.973 90.00 90.00 90.00
Positions (direct):
Ir 0.500 0.500 0.000
Tb 0.000 0.000 0.761
Tb 0.000 0.000 0.239
Pd 0.500 0.500 0.500

Results
volume	84.8	Å³ per cell
excess energy over the best structure of this formula in the dataset	12	meV/atom
uncorrected energy	-26.77	eV per formula unit

---

# 10
Material: NaVP2Se8
Method: DFT, PBE
State: optimized geometry

Lattice parameters (Å, degrees): 6.222 6.222 10.103 72.07 72.07 60.00
Last column: magnetic moment on the atom in μB.
Positions (direct):
Na 0.500 0.500 0.500  0.00
V 0.000 0.000 0.000  0.17
P 0.260 0.260 0.219  0.00
P 0.740 0.740 0.781  0.00
Se 0.185 0.185 0.446  -0.01
Se 0.635 0.288 0.148  -0.02
Se 0.815 0.815 0.554  -0.01
Se 0.929 0.635 0.148  -0.02
Se 0.071 0.365 0.852  -0.02
Se 0.288 0.929 0.148  -0.02
Se 0.712 0.071 0.852  -0.02
Se 0.365 0.712 0.852  -0.02

Results
volume	316.5	Å³ per cell
ΔE_f (raw)	-0.238	eV/atom
uncorrected energy	-51.99	eV per formula unit

---

# 11
Material: CdCuTc2
Method: DFT, PBE
State: optimized geometry

Lattice parameters (Å, degrees): 3.688 3.688 10.218 79.60 79.60 90.00
Positions (direct):
Tc 0.580 0.125 0.250
Tc 0.170 0.625 0.250
Tc 0.375 0.420 0.750
Tc 0.875 0.830 0.750
Cu 0.500 0.500 0.000
Cu 0.250 0.750 0.500
Cd 0.000 0.000 0.000
Cd 0.750 0.250 0.500

Results
volume	134.4	Å³ per cell
uncorrected energy	-23.06	eV per formula unit

---

# 12
Material: Hf2FeSn
Method: DFT, PBE
State: optimized geometry

Lattice parameters (Å, degrees): 3.059 3.059 8.064 90.00 90.00 90.00
Last column: magnetic moment on the atom in μB.
Positions (direct):
Hf 0.000 0.000 0.799  -0.01
Hf 0.000 0.000 0.201  -0.01
Sn 0.500 0.500 0.500  0.00
Fe 0.500 0.500 0.000  0.07

Results
volume	75.5	Å³ per cell
uncorrected energy	-33.28	eV per formula unit